# HoAsH | Alexandria | PBE-GGA | optimized geometry
# - volume (A^3/atom) = 16.678
# - M_tot (μB per atom) = 0.00
# - E above lowest polymorph (kJ/mol of formula units) = 0.0
# - DOS at the Fermi energy (states/eV per cell) = 0.7
data_HoAsH
_space_group_name_H-M_alt 'C 1 2/m 1'
_space_group_IT_number 12
_cell_length_a 10.277
_cell_length_b 3.861
_cell_length_c 5.052
_cell_angle_alpha 90.00
_cell_angle_beta 93.18
_cell_angle_gamma 90.00
loop_
_space_group_symop_operation_xyz
'x,y,z'
'-x,-y,-z'
'-x,y,-z'
'x,-y,z'
'x+1/2,y+1/2,z'
'-x+1/2,-y+1/2,-z'
'-x+1/2,y+1/2,-z'
'x+1/2,-y+1/2,z'
loop_
_atom_site_label
_atom_site_type_symbol
_atom_site_fract_x
_atom_site_fract_y
_atom_site_fract_z
_atom_site_occupancy
Ho1 Ho 0.144 0.000 0.271 1
As1 As 0.073 0.500 0.806 1
H1 H 0.221 0.500 0.392 1